No. 1
Computed, not measured: a geometry-optimized CuAgP2O structure at the PBE-GGA level of DFT.

a b c (Å): 4.8475 4.8475 3.9142
angles (deg): 90.00 90.00 90.00
With the nearest neighbours (Å) after each atom.
Positions (direct):
Cu  0.0000  0.0000  0.0000  8 P 3.12, 4 O 3.43
Ag  0.5000  0.5000  0.5000  2 O 1.96
P  0.0000  0.5000  0.5000  2 Ag 2.42
P  0.5000  0.0000  0.5000  2 Ag 2.42
O  0.5000  0.5000  0.0000  2 Ag 1.96

Values from the calculation:
Its space group is No. 123. Its energy relative to the lowest polymorph listed for this composition is 571 meV per atom. For the magnetic moment, the calculation gives 0.52 μB/f.u.

=====

No. 2
Computed, not measured: a geometry-optimized CuAgPO4 structure at the PBE-GGA level of DFT.

a b c (Å): 5.7715 7.6691 16.1354
angles (deg): 90.00 90.00 90.00
With the nearest neighbours (Å) after each atom.
Positions (direct):
Cu  0.1277  0.1896  0.0193  4 O 1.94-2.03
Cu  0.1277  0.3104  0.5193  4 O 1.94-2.03
Cu  0.3723  0.6896  0.0193  4 O 1.94-2.03
Cu  0.3723  0.8104  0.5193  4 O 1.94-2.03
Cu  0.6277  0.1896  0.4807  4 O 1.94-2.03
Cu  0.6277  0.3104  0.9807  4 O 1.94-2.03
Cu  0.8723  0.6896  0.4807  4 O 1.94-2.03
Cu  0.8723  0.8104  0.9807  4 O 1.94-2.03
Ag  0.1354  0.6769  0.7172  3 O 2.34-2.47
Ag  0.1354  0.8231  0.2172  3 O 2.34-2.47
Ag  0.3646  0.1769  0.7172  3 O 2.34-2.47
Ag  0.3646  0.3231  0.2172  3 O 2.34-2.47
Ag  0.6354  0.6769  0.7828  3 O 2.34-2.47
Ag  0.6354  0.8231  0.2828  3 O 2.34-2.47
Ag  0.8646  0.1769  0.7828  3 O 2.34-2.47
Ag  0.8646  0.3231  0.2828  3 O 2.34-2.47
P  0.0900  0.0146  0.3895  4 O 1.54-1.58
P  0.0900  0.4854  0.8895  4 O 1.54-1.58
P  0.4100  0.5146  0.3895  4 O 1.54-1.58
P  0.4100  0.9854  0.8895  4 O 1.54-1.58
P  0.5900  0.0146  0.1105  4 O 1.54-1.58
P  0.5900  0.4854  0.6105  4 O 1.54-1.58
P  0.9100  0.5146  0.1105  4 O 1.54-1.58
P  0.9100  0.9854  0.6105  4 O 1.54-1.58
O  0.0497  0.6619  0.0634  1 P 1.58
O  0.0497  0.8381  0.5634  1 P 1.58
O  0.0554  0.1571  0.6116  1 P 1.56
O  0.0554  0.3429  0.1116  1 P 1.56
O  0.1249  0.0746  0.2990  1 P 1.54
O  0.1249  0.4254  0.7990  1 P 1.54
O  0.1737  0.0111  0.9347  1 P 1.56
O  0.1737  0.4889  0.4347  1 P 1.56
O  0.3263  0.5111  0.9347  1 P 1.56
O  0.3263  0.9889  0.4347  1 P 1.56
O  0.3751  0.5746  0.2990  1 P 1.54
O  0.3751  0.9254  0.7990  1 P 1.54
O  0.4446  0.6571  0.6116  1 P 1.56
O  0.4446  0.8429  0.1116  1 P 1.56
O  0.4503  0.1619  0.0634  1 P 1.58
O  0.4503  0.3381  0.5634  1 P 1.58
O  0.5497  0.6619  0.4366  1 P 1.58
O  0.5497  0.8381  0.9366  1 P 1.58
O  0.5554  0.1571  0.8884  1 P 1.56
O  0.5554  0.3429  0.3884  1 P 1.56
O  0.6249  0.0746  0.2010  1 P 1.54
O  0.6249  0.4254  0.7010  1 P 1.54
O  0.6737  0.0111  0.5653  1 P 1.56
O  0.6737  0.4889  0.0653  1 P 1.56
O  0.8263  0.5111  0.5653  1 P 1.56
O  0.8263  0.9889  0.0653  1 P 1.56
O  0.8751  0.5746  0.2010  1 P 1.54
O  0.8751  0.9254  0.7010  1 P 1.54
O  0.9446  0.6571  0.8884  1 P 1.56
O  0.9446  0.8429  0.3884  1 P 1.56
O  0.9503  0.1619  0.4366  1 P 1.58
O  0.9503  0.3381  0.9366  1 P 1.58

Values from the calculation:
The calculation puts the total energy at -329.63 eV/cell. Its space group is No. 61. For the magnetic moment, the calculation gives 0.99 μB/f.u.

=====

No. 3
Computed, not measured: a geometry-optimized CuAg2PO4 structure at the PBE-GGA level of DFT.

a b c (Å): 4.9857 5.0434 5.3643
angles (deg): 63.42 63.64 84.64
With the nearest neighbours (Å) after each atom.
Positions (direct):
Cu  0.0000  0.0000  0.0000  2 O 1.89-1.91
Ag  0.6036  0.3889  0.9716  3 O 2.34-2.55
Ag  0.8557  0.1977  0.4518  3 O 2.38-2.46
P  0.3039  0.6310  0.4808  4 O 1.55-1.59
O  0.0473  0.7522  0.6833  1 P 1.55
O  0.2351  0.6239  0.2268  1 P 1.56
O  0.3394  0.3018  0.6965  1 P 1.59
O  0.6113  0.8188  0.3334  1 P 1.55

Values from the calculation:
The calculation puts the total energy at -43.74 eV/cell. Its space group is No. 1. For the magnetic moment, the calculation gives 0.00 μB/f.u.

=====

No. 4
Computed, not measured: a geometry-optimized Cu2AgPO6 structure at the PBE-GGA level of DFT.

a b c (Å): 6.8367 6.8367 6.2698
angles (deg): 103.78 103.78 102.42
With the nearest neighbours (Å) after each atom.
Positions (direct):
Cu  0.0501  0.2051  0.1508  4 O 1.88-1.95
Cu  0.2051  0.0501  0.6508  4 O 1.88-1.95
Cu  0.7949  0.9499  0.3492  4 O 1.88-1.95
Cu  0.9499  0.7949  0.8492  4 O 1.88-1.95
Ag  0.3694  0.6306  0.7500  4 O 2.37-2.50
Ag  0.6306  0.3694  0.2500  4 O 2.37-2.50
P  0.3315  0.6685  0.2500  4 O 1.54-1.59
P  0.6685  0.3315  0.7500  4 O 1.54-1.59
O  0.0467  0.1669  0.4376  3 Cu 1.88-1.95
O  0.1669  0.0467  0.9376  3 Cu 1.88-1.95
O  0.1839  0.6727  0.0251  1 P 1.54
O  0.2913  0.4391  0.2756  1 P 1.59
O  0.3273  0.8161  0.4749  1 P 1.54
O  0.4391  0.2913  0.7756  1 P 1.59
O  0.5609  0.7087  0.2244  1 P 1.59
O  0.6727  0.1839  0.5251  1 P 1.54
O  0.7087  0.5609  0.7244  1 P 1.59
O  0.8161  0.3273  0.9749  1 P 1.54
O  0.8331  0.9533  0.0624  3 Cu 1.88-1.95
O  0.9533  0.8331  0.5624  3 Cu 1.88-1.95

Values from the calculation:
The calculation puts the total energy at -110.78 eV/cell. Its space group is No. 15. For the magnetic moment, the calculation gives 0.00 μB/f.u.

=====

No. 5
Computed, not measured: a geometry-optimized CuAgPO2 structure at the PBE-GGA level of DFT.

a b c (Å): 3.9064 3.9064 5.1891
angles (deg): 90.00 90.00 90.00
With the nearest neighbours (Å) after each atom.
Positions (direct):
Cu  0.0000  0.0000  0.0000  4 P 2.76
Ag  0.5000  0.5000  0.5000  4 O 1.95
P  0.5000  0.5000  0.0000  2 Ag 2.59, 4 Cu 2.76
O  0.0000  0.5000  0.5000  2 Ag 1.95
O  0.5000  0.0000  0.5000  2 Ag 1.95

Values from the calculation:
Its space group is No. 123. Its energy relative to the lowest polymorph listed for this composition is 513 meV per atom. For the magnetic moment, the calculation gives 1.08 μB/f.u.

=====

No. 6
Computed, not measured: a geometry-optimized CuAgPO4 structure at the PBE-GGA level of DFT.

a b c (Å): 5.5385 5.5385 6.1735
angles (deg): 90.00 90.00 90.00
With the nearest neighbours (Å) after each atom.
Positions (direct):
Cu  0.0000  0.0000  0.0000  4 O 1.99
Cu  0.5000  0.5000  0.5000  4 O 1.99
Ag  0.0000  0.0000  0.5000  4 O 2.37
Ag  0.5000  0.5000  0.0000  4 O 2.37
P  0.0000  0.5000  0.7500  4 O 1.56
P  0.5000  0.0000  0.2500  4 O 1.56
O  0.1358  0.3101  0.8917  1 P 1.56
O  0.1899  0.6358  0.6083  1 P 1.56
O  0.3101  0.8642  0.1083  1 P 1.56
O  0.3642  0.1899  0.3917  1 P 1.56
O  0.6358  0.8101  0.3917  1 P 1.56
O  0.6899  0.1358  0.1083  1 P 1.56
O  0.8101  0.3642  0.6083  1 P 1.56
O  0.8642  0.6899  0.8917  1 P 1.56

Values from the calculation:
The calculation puts the total energy at -82.42 eV/cell. Its space group is No. 82. For the magnetic moment, the calculation gives 0.96 μB/f.u.

=====

No. 7
Computed, not measured: a geometry-optimized CuAgPO2 structure at the PBE-GGA level of DFT.

a b c (Å): 3.7011 3.7011 5.0630
angles (deg): 90.00 90.00 90.00
With the nearest neighbours (Å) after each atom.
Positions (direct):
Cu  0.0000  0.0000  0.0000  4 O 1.85
Ag  0.5000  0.5000  0.5000  4 P 2.62
P  0.0000  0.0000  0.5000  2 Cu 2.53, 4 Ag 2.62
O  0.0000  0.5000  0.0000  2 Cu 1.85
O  0.5000  0.0000  0.0000  2 Cu 1.85

Values from the calculation:
Its space group is No. 123. Its energy relative to the lowest polymorph listed for this composition is 0 meV per atom. For the magnetic moment, the calculation gives 1.05 μB/f.u.

=====

No. 8
Computed, not measured: a geometry-optimized CuAg2P4O12 structure at the PBE-GGA level of DFT.

a b c (Å): 8.2900 8.2900 8.0138
angles (deg): 93.08 93.08 108.93
With the nearest neighbours (Å) after each atom.
Positions (direct):
Cu  0.1350  0.8650  0.7500  4 O 1.96-1.99
Cu  0.8650  0.1350  0.2500  4 O 1.96-1.99
Ag  0.1807  0.4876  0.3212  4 O 2.31-2.51
Ag  0.4876  0.1807  0.8212  4 O 2.31-2.51
Ag  0.5124  0.8193  0.1788  4 O 2.31-2.51
Ag  0.8193  0.5124  0.6788  4 O 2.31-2.51
P  0.0595  0.2114  0.6752  4 O 1.49-1.62
P  0.2114  0.0595  0.1752  4 O 1.49-1.62
P  0.2392  0.5494  0.8715  4 O 1.50-1.62
P  0.4506  0.7608  0.6285  4 O 1.50-1.62
P  0.5494  0.2392  0.3715  4 O 1.50-1.62
P  0.7608  0.4506  0.1285  4 O 1.50-1.62
P  0.7886  0.9405  0.8248  4 O 1.49-1.62
P  0.9405  0.7886  0.3248  4 O 1.49-1.62
O  0.0296  0.3022  0.5268  1 P 1.49
O  0.0839  0.1542  0.1573  1 P 1.51
O  0.1066  0.6311  0.8178  1 P 1.52
O  0.1233  0.8767  0.2500  2 P 1.62
O  0.1542  0.0839  0.6573  1 P 1.51
O  0.1615  0.3469  0.8300  2 P 1.60-1.62
O  0.3022  0.0296  0.0268  1 P 1.49
O  0.3100  0.5766  0.0505  1 P 1.50
O  0.3469  0.1615  0.3300  2 P 1.60-1.62
O  0.3689  0.8934  0.6822  1 P 1.52
O  0.3955  0.6045  0.7500  2 P 1.62
O  0.4234  0.6900  0.4495  1 P 1.50
O  0.5766  0.3100  0.5505  1 P 1.50
O  0.6045  0.3955  0.2500  2 P 1.62
O  0.6311  0.1066  0.3178  1 P 1.52
O  0.6531  0.8385  0.6700  2 P 1.60-1.62
O  0.6900  0.4234  0.9495  1 P 1.50
O  0.6978  0.9704  0.9732  1 P 1.49
O  0.8385  0.6531  0.1700  2 P 1.60-1.62
O  0.8458  0.9161  0.3427  1 P 1.51
O  0.8767  0.1233  0.7500  2 P 1.62
O  0.8934  0.3689  0.1822  1 P 1.52
O  0.9161  0.8458  0.8427  1 P 1.51
O  0.9704  0.6978  0.4732  1 P 1.49

Values from the calculation:
The calculation puts the total energy at -244.49 eV/cell. Its space group is No. 15. For the magnetic moment, the calculation gives 1.01 μB/f.u.

=====

No. 9
Computed, not measured: a geometry-optimized CuAgP2O structure at the PBE-GGA level of DFT.

a b c (Å): 4.7543 4.7543 3.5219
angles (deg): 90.00 90.00 90.00
With the nearest neighbours (Å) after each atom.
Positions (direct):
Cu  0.0000  0.0000  0.0000  2 O 1.76
Ag  0.5000  0.5000  0.5000  8 P 2.96
P  0.0000  0.5000  0.0000  2 Cu 2.38
P  0.5000  0.0000  0.0000  2 Cu 2.38
O  0.0000  0.0000  0.5000  2 Cu 1.76

Values from the calculation:
Its space group is No. 123. Its energy relative to the lowest polymorph listed for this composition is 0 meV per atom. For the magnetic moment, the calculation gives 0.36 μB/f.u.

=====

No. 10
Computed, not measured: a geometry-optimized PaCu3Ag4O12 structure at the PBE-GGA level of DFT.

a b c (Å): 6.7413 6.7413 6.7413
angles (deg): 109.47 109.47 109.47
With the nearest neighbours (Å) after each atom.
Positions (direct):
Pa  0.0000  0.0000  0.0000  12 O 2.61
Cu  0.0000  0.5000  0.5000  4 O 1.95
Cu  0.5000  0.0000  0.5000  4 O 1.95
Cu  0.5000  0.5000  0.0000  4 O 1.95
Ag  0.0000  0.0000  0.5000  6 O 2.13
Ag  0.0000  0.5000  0.0000  6 O 2.13
Ag  0.5000  0.0000  0.0000  6 O 2.13
Ag  0.5000  0.5000  0.5000  6 O 2.13
O  0.1497  0.2996  0.4493  1 Cu 1.95, 2 Ag 2.13
O  0.1497  0.7004  0.8500  1 Cu 1.95, 2 Ag 2.13
O  0.1500  0.8503  0.2996  1 Cu 1.95, 2 Ag 2.13
O  0.2996  0.1500  0.8503  1 Cu 1.95, 2 Ag 2.13
O  0.2996  0.4493  0.1497  1 Cu 1.95, 2 Ag 2.13
O  0.4493  0.1497  0.2996  1 Cu 1.95, 2 Ag 2.13
O  0.5507  0.8503  0.7004  1 Cu 1.95, 2 Ag 2.13
O  0.7004  0.5507  0.8503  1 Cu 1.95, 2 Ag 2.13
O  0.7004  0.8500  0.1497  1 Cu 1.95, 2 Ag 2.13
O  0.8500  0.1497  0.7004  1 Cu 1.95, 2 Ag 2.13
O  0.8503  0.2996  0.1500  1 Cu 1.95, 2 Ag 2.13
O  0.8503  0.7004  0.5507  1 Cu 1.95, 2 Ag 2.13

Values from the calculation:
The calculation puts the total energy at -104.81 eV/cell. Its space group is No. 204. For the magnetic moment, the calculation gives 0.00 μB/f.u.

=====

No. 11
Computed, not measured: a geometry-optimized PaCuAg2O8 structure at the PBE-GGA level of DFT.

a b c (Å): 5.9732 5.9732 5.9732
angles (deg): 109.69 109.69 109.03
With the nearest neighbours (Å) after each atom.
Positions (direct):
Pa  0.0000  0.0000  0.0000  8 O 2.22-2.28
Cu  0.7500  0.2500  0.5000  8 O 2.10-2.21
Ag  0.2500  0.7500  0.5000  4 O 2.03
Ag  0.5000  0.5000  0.0000  4 O 2.10
O  0.0153  0.3378  0.3225  1 Ag 2.03, 1 O 2.14, 1 Cu 2.21, 1 Pa 2.22
O  0.0153  0.6928  0.6775  1 Ag 2.03, 1 O 2.14, 1 Cu 2.21, 1 Pa 2.22
O  0.0711  0.2664  0.8047  1 Cu 2.10, 1 Ag 2.10, 1 O 2.14, 1 Pa 2.28
O  0.3072  0.9847  0.3225  1 Ag 2.03, 1 O 2.14, 1 Cu 2.21, 1 Pa 2.22
O  0.4617  0.2664  0.1953  1 Cu 2.10, 1 Ag 2.10, 1 O 2.14, 1 Pa 2.28
O  0.6622  0.9847  0.6775  1 Ag 2.03, 1 O 2.14, 1 Cu 2.21, 1 Pa 2.22
O  0.7336  0.5383  0.8047  1 Cu 2.10, 1 Ag 2.10, 1 O 2.14, 1 Pa 2.28
O  0.7336  0.9289  0.1953  1 Cu 2.10, 1 Ag 2.10, 1 O 2.14, 1 Pa 2.28

Values from the calculation:
The calculation puts the total energy at -66.65 eV/cell. Its space group is No. 119. For the magnetic moment, the calculation gives 0.09 μB/f.u.

=====

No. 12
Computed, not measured: a geometry-optimized Pa3Cu4AgO12 structure at the PBE-GGA level of DFT.

a b c (Å): 7.1837 7.1837 7.1837
angles (deg): 105.58 105.58 105.58
With the nearest neighbours (Å) after each atom.
Positions (direct):
Pa  0.0000  0.5515  0.4485  6 O 2.10-2.24
Pa  0.4485  0.0000  0.5515  6 O 2.10-2.24
Pa  0.5515  0.4485  0.0000  6 O 2.10-2.24
Cu  0.0564  0.5000  0.9436  3 O 1.85-1.89
Cu  0.5000  0.5000  0.5000  3 O 1.87
Cu  0.5000  0.9436  0.0564  3 O 1.85-1.89
Cu  0.9436  0.0564  0.5000  3 O 1.85-1.89
Ag  0.0000  0.0000  0.0000  6 O 2.79
O  0.0199  0.6353  0.7592  1 Cu 1.85
O  0.1089  0.8911  0.5000  1 Cu 1.89
O  0.2408  0.3647  0.9801  1 Cu 1.85
O  0.3365  0.6635  0.5000  1 Cu 1.87
O  0.3647  0.9801  0.2408  1 Cu 1.85
O  0.5000  0.1089  0.8911  1 Cu 1.89
O  0.5000  0.3365  0.6635  1 Cu 1.87
O  0.6353  0.7592  0.0199  1 Cu 1.85
O  0.6635  0.5000  0.3365  1 Cu 1.87
O  0.7592  0.0199  0.6353  1 Cu 1.85
O  0.8911  0.5000  0.1089  1 Cu 1.89
O  0.9801  0.2408  0.3647  1 Cu 1.85

Values from the calculation:
The calculation puts the total energy at -145.55 eV/cell. Its space group is No. 155. For the magnetic moment, the calculation gives 4.00 μB/f.u.